Record 1
# Mg2SbSe

A geometry-optimized Mg2SbSe structure (GGA-PBEsol, Alexandria via LeMat-Bulk).

Cell and atoms, written as extended XYZ:
```
4
Lattice="3.7131 0.0000 0.0000 0.0000 3.7131 0.0000 0.0000 0.0000 7.2876" Properties=species:S:1:pos:R:3 pbc="T T T"
Mg 1.8566 1.8566 2.0155
Sb 0.0000 0.0000 3.3004
Se 1.8566 1.8566 6.7520
Mg 0.0000 0.0000 6.1510
```

Total magnetization ... 0.00 μB/atom
E_form (uncorrected) ... -0.67 eV/atom
Calculated total energy ... -14.54 eV per cell

***

Record 2
# RbNaI2N

A geometry-optimized RbNaI2N structure (GGA-PBEsol, Alexandria via LeMat-Bulk).

Cell and atoms, written as extended XYZ:
```
5
Lattice="4.8424 0.0000 0.0000 0.0000 6.0524 0.0000 0.0000 0.0000 6.0524" Properties=species:S:1:pos:R:3 pbc="T T T"
Rb 2.4212 3.0262 3.0262
Na 0.0000 0.0000 0.0000
I 0.0000 3.0262 0.0000
I 0.0000 0.0000 3.0262
N 2.4212 0.0000 0.0000
```

Total magnetization ... 0.60 μB/atom
E_form (uncorrected) ... -0.01 eV/atom
Calculated total energy ... -14.52 eV per cell

***

Record 3
# LaCu2As

A geometry-optimized LaCu2As structure (GGA-PBEsol, Alexandria via LeMat-Bulk).

Cell and atoms, written as extended XYZ:
```
4
Lattice="4.7220 0.0000 0.0000 2.3610 4.0894 0.0000 2.3610 1.3631 3.8555" Properties=species:S:1:pos:R:3 pbc="T T T"
La 2.3610 1.3631 0.9639
Cu 7.0830 4.0894 2.8916
As 4.7220 2.7263 1.9278
Cu 0.0000 0.0000 0.0000
```

Total magnetization ... 0.00 μB/atom
Calculated total energy ... -20.02 eV per cell
Formation energy from the elements ... -0.226 eV per atom